Entry 1:
This record from OQMD via LeMat-Bulk describes a relaxed Pr2WC2 crystal. The functional is GGA-PBE.

Calculated values
Crystal system: tetragonal
Energy (eV/atom): -8.3570

Cell lengths 5.842, 5.842, 10.516 Å; angles 90.00, 90.00, 90.00 degrees
Fractional coordinates of all 20 atoms:
C (0.500, 0.000, 0.000)
C (0.000, 0.500, 0.000)
C (0.000, 0.000, 0.141)
C (0.500, 0.500, 0.359)
C (0.500, 0.000, 0.500)
C (0.000, 0.500, 0.500)
C (0.500, 0.500, 0.641)
C (0.000, 0.000, 0.859)
Pr (0.696, 0.304, 0.157)
Pr (0.304, 0.696, 0.157)
Pr (0.196, 0.196, 0.343)
Pr (0.804, 0.804, 0.343)
Pr (0.196, 0.196, 0.657)
Pr (0.804, 0.804, 0.657)
Pr (0.696, 0.304, 0.843)
Pr (0.304, 0.696, 0.843)
W (0.177, 0.177, 0.000)
W (0.823, 0.823, 0.000)
W (0.677, 0.323, 0.500)
W (0.323, 0.677, 0.500)

***

Entry 2:
This record from OQMD via LeMat-Bulk describes a relaxed NbFeSb crystal. The functional is GGA-PBE.

Calculated values
Crystal system: hexagonal
Energy (eV/atom): -7.1996

Cell lengths 7.742, 7.742, 3.067 Å; angles 90.00, 90.00, 120.00 degrees
Each line ends with the local moment (μB).
Fractional coordinates of all 9 atoms:
Fe (0.630, 0.000, 0.500)  2.38
Fe (0.370, 0.370, 0.500)  2.37
Fe (0.000, 0.630, 0.500)  2.38
Nb (0.299, 0.000, 0.000)  -0.28
Nb (0.000, 0.299, 0.000)  -0.23
Nb (0.701, 0.701, 0.000)  -0.31
Sb (0.667, 0.333, 0.000)  -0.01
Sb (0.333, 0.667, 0.000)  -0.01
Sb (0.000, 0.000, 0.500)  0.01

***

Entry 3:
This record from OQMD via LeMat-Bulk describes a relaxed LaPrNi2Ge2 crystal. The functional is GGA-PBE.

Calculated values
Crystal system: tetragonal
Energy (eV/atom): -5.7051

Cell lengths 4.269, 4.269, 6.808 Å; angles 90.00, 90.00, 90.00 degrees
Fractional coordinates of all 6 atoms:
Ge (0.500, 0.500, 0.182)
Ge (0.000, 0.000, 0.812)
La (0.000, 0.000, 0.310)
Ni (0.500, 0.000, 0.000)
Ni (0.000, 0.500, 0.000)
Pr (0.500, 0.500, 0.695)

***

Entry 4:
This record from OQMD via LeMat-Bulk describes a relaxed TaNiAs2 crystal. The functional is GGA-PBE.

Calculated values
Crystal system: cubic
Energy (eV/atom): -6.3928

Cell lengths 4.487, 4.487, 4.487 Å; angles 60.00, 60.00, 60.00 degrees
Each line ends with the local moment (μB).
Fractional coordinates of all 4 atoms:
As (0.000, 0.000, 0.000)  0.02
As (0.750, 0.750, 0.750)  0.01
Ni (0.250, 0.250, 0.250)  0.13
Ta (0.500, 0.500, 0.500)  0.24

***

Entry 5:
This record from OQMD via LeMat-Bulk describes a relaxed Dy2Er3Lu2Te2Ir2 crystal. The functional is GGA-PBE.

Calculated values
Crystal system: orthorhombic
Energy (eV/atom): -6.0231
Polymorph energy (0 for the lowest one) (eV per atom): 0.000

Cell lengths 9.300, 9.300, 9.300 Å; angles 155.62, 66.16, 119.56 degrees
Fractional coordinates of all 11 atoms:
Dy (0.768, 0.415, 0.353)
Dy (0.062, 0.415, 0.647)
Er (0.682, 0.682, 0.000)
Er (0.398, 0.266, 0.132)
Er (0.133, 0.266, 0.868)
Ir (0.990, 0.752, 0.238)
Ir (0.514, 0.752, 0.762)
Lu (0.369, 0.054, 0.315)
Lu (0.739, 0.054, 0.685)
Te (0.020, 0.020, 0.000)
Te (0.419, 0.919, 0.500)

***

Entry 6:
This record from OQMD via LeMat-Bulk describes a relaxed ReHg2As crystal. The functional is GGA-PBE.

Calculated values
Crystal system: cubic
Energy (eV/atom): -3.3972

Cell lengths 4.745, 4.745, 4.745 Å; angles 60.00, 60.00, 60.00 degrees
Each line ends with the local moment (μB).
Fractional coordinates of all 4 atoms:
As (0.500, 0.500, 0.500)  -0.05
Hg (0.000, 0.000, 0.000)  0.01
Hg (0.750, 0.750, 0.750)  0.00
Re (0.250, 0.250, 0.250)  1.14

***

Entry 7:
This record from OQMD via LeMat-Bulk describes a relaxed Dy2Ho crystal. The functional is GGA-PBE.

Calculated values
Crystal system: cubic
Energy (eV/atom): -4.3277
Polymorph energy (0 for the lowest one) (eV per atom): 0.000
Energy of formation (meV per atom): 266

Cell lengths 6.515, 6.515, 6.515 Å; angles 60.00, 60.00, 60.00 degrees
Fractional coordinates of all 6 atoms:
Dy (0.625, 0.625, 0.125)
Dy (0.625, 0.125, 0.625)
Dy (0.125, 0.625, 0.625)
Dy (0.625, 0.625, 0.625)
Ho (0.000, 0.000, 0.000)
Ho (0.250, 0.250, 0.250)

***

Entry 8:
This record from OQMD via LeMat-Bulk describes a relaxed GdHfFe crystal. The functional is GGA-PBE.

Calculated values
Crystal system: cubic
Energy (eV/atom): -7.4286
Polymorph energy (0 for the lowest one) (eV per atom): 0.000
Energy of formation (meV per atom): 211

Cell lengths 4.512, 4.512, 4.512 Å; angles 60.00, 60.00, 60.00 degrees
Fractional coordinates of all 3 atoms:
Fe (0.000, 0.000, 0.000)
Gd (0.250, 0.250, 0.250)
Hf (0.750, 0.750, 0.750)

***

Entry 9:
This record from OQMD via LeMat-Bulk describes a relaxed KNdAlSe3 crystal. The functional is GGA-PBE.

Calculated values
Crystal system: orthorhombic
Energy (eV/atom): -4.6121

Cell lengths 7.632, 7.632, 11.471 Å; angles 90.00, 90.00, 146.85 degrees
Each line ends with the local moment (μB).
Fractional coordinates of all 12 atoms:
Al (0.970, 0.030, 0.250)  0.01
Al (0.030, 0.970, 0.750)  0.01
K (0.243, 0.757, 0.250)  0.00
K (0.757, 0.243, 0.750)  0.00
Nd (0.500, 0.500, 0.000)  0.14
Nd (0.500, 0.500, 0.500)  0.14
Se (0.870, 0.130, 0.080)  0.02
Se (0.559, 0.441, 0.250)  0.00
Se (0.870, 0.130, 0.420)  0.02
Se (0.130, 0.870, 0.580)  0.02
Se (0.441, 0.559, 0.750)  0.00
Se (0.130, 0.870, 0.920)  0.02

***

Entry 10:
This record from OQMD via LeMat-Bulk describes a relaxed NpZn crystal. The functional is GGA-PBE.

Calculated values
Crystal system: orthorhombic
Energy (eV/atom): -6.8623
Energy of formation (meV per atom): 155

Cell lengths 4.475, 14.015, 4.469 Å; angles 90.00, 90.00, 90.00 degrees
Fractional coordinates of all 16 atoms:
Np (0.925, 0.269, 0.000)
Np (0.399, 0.375, 0.000)
Np (0.925, 0.481, 0.000)
Np (0.418, 0.875, 0.000)
Np (0.905, 0.375, 0.500)
Np (0.417, 0.769, 0.500)
Np (0.919, 0.875, 0.500)
Np (0.417, 0.981, 0.500)
Zn (0.919, 0.026, 0.000)
Zn (0.421, 0.125, 0.000)
Zn (0.421, 0.625, 0.000)
Zn (0.919, 0.724, 0.000)
Zn (0.916, 0.125, 0.500)
Zn (0.416, 0.225, 0.500)
Zn (0.416, 0.525, 0.500)
Zn (0.916, 0.625, 0.500)

***

Entry 11:
This record from OQMD via LeMat-Bulk describes a relaxed DyLuTl crystal. The functional is GGA-PBE.

Calculated values
Crystal system: cubic
Energy (eV/atom): -3.8529
Polymorph energy (0 for the lowest one) (eV per atom): 0.000

Cell lengths 5.106, 5.106, 5.106 Å; angles 60.00, 60.00, 60.00 degrees
Fractional coordinates of all 3 atoms:
Dy (0.250, 0.250, 0.250)
Lu (0.750, 0.750, 0.750)
Tl (0.000, 0.000, 0.000)

***

Entry 12:
This record from OQMD via LeMat-Bulk describes a relaxed TbYAg2 crystal. The functional is GGA-PBE.

Calculated values
Crystal system: orthorhombic
Energy (eV/atom): -4.4858
Energy of formation (meV per atom): -300

Cell lengths 4.766, 5.822, 5.822 Å; angles 37.24, 90.00, 90.00 degrees
Fractional coordinates of all 4 atoms:
Ag (0.500, 0.079, 0.079)
Ag (0.000, 0.920, 0.920)
Tb (0.500, 0.358, 0.358)
Y (0.000, 0.643, 0.643)

***

The highest energy belongs to which entry?
ReHg2As

***

What is the formula in the fourth record?
TaNiAs2

***

energy of number 5 (Dy2Er3Lu2Te2Ir2)?
-6.0231 eV/atom